Compound: AcPmSeN
Source: the Alexandria database
Functional: PBE
Structure: optimized geometry

abc: 3.918 3.918 7.368
angles: 74.58 74.58 60.00
Element x y z (fractional)
1 Se 0.756 0.756 0.732
2 N 0.244 0.244 0.269
3 Pm 0.516 0.516 0.453
4 Ac 0.985 0.985 0.046

Calculated values
Its formation energy from raw total energies is -1.538 eV per atom.